# 1
DFT (GGA-PBE) results for a relaxed structure of SmHo2Be.

Computed properties:
* E above lowest polymorph: 0.000 eV per formula unit
* theoretical density: 7.859 g cm⁻³
* DOS(E_F): 4.4 states/eV/cell

a b c (Å): 3.4553 3.4553 8.6587
angles (deg): 90.00 90.00 90.00
Fractional coordinates of all 4 atoms:
Sm1 0.0000 0.0000 0.0000
Ho1 0.5000 0.5000 0.3096
Ho2 0.5000 0.5000 0.6904
Be1 0.0000 0.0000 0.5000

# 2
DFT (GGA-PBE) results for a relaxed structure of SmHoBe.

Computed properties:
* theoretical density: 7.310 g cm⁻³
* DOS(E_F): 3.2 states/eV/cell

a b c (Å): 6.5131 6.5131 6.5131
angles (deg): 148.86 148.86 44.62
Fractional coordinates of all 3 atoms:
Sm1 0.0000 0.0000 0.0000
Ho1 0.7289 0.7289 0.0000
Be1 0.3564 0.3564 0.0000

For each record above, in turn, the calculated DFT formation energy values are 0.262; 0.319 eV per formula unit.